[1]
11
Lattice="6.1715 -0.4451 -0.6424 -1.4374 7.9759 1.3039 -1.4374 -1.5801 7.9258" Properties=species:S:1:pos:R:3 comment="La7Dy2Y2 (PBE, relaxed)" delta_e_f_ev_per_fu=1.31 relative_energy_mev_per_atom=0 e_tot_ev_per_atom=-5.029 pbc="T T T"
Dy 0.3214 4.7449 6.8472
La 3.3041 3.3152 4.7841
La -0.8499 6.8595 4.4262
Dy 2.9755 1.2058 1.7401
La 4.1467 4.2152 0.6103
La -0.0073 2.6355 3.8032
Y 1.6484 5.7492 2.3714
Y 1.6484 0.2015 6.2159
La -0.8499 1.7355 7.9770
La 0.0000 0.0000 0.0000
La 4.1467 -0.9088 4.1611

[2]
18
Lattice="-7.1670 -3.4039 0.7043 5.7038 -3.5713 -4.2615 4.0656 -6.3357 10.7513" Properties=species:S:1:pos:R:3 comment="RbTlTcBr6 (PBE, relaxed)" raw_formation_energy_mev_per_atom=-808 e_tot_ev_per_atom=-3.445 pbc="T T T"
Br 5.4648 -8.4987 3.1352
Br 0.4633 -4.8972 2.7512
Br 3.4263 -8.0772 7.7680
Br 4.5678 -10.7892 5.7382
Br -0.8239 -5.2337 -0.5739
Br 2.1391 -8.4137 4.4429
Br -1.9653 -2.5218 1.4559
Tc -1.8603 -5.0436 1.7369
Rb 0.0000 0.0000 0.0000
Br -4.1671 -5.2320 0.6914
Br 6.7695 -8.0789 6.5028
Br -2.8624 -4.8122 4.0590
Br 4.4090 -5.7461 5.1566
Tc 4.4627 -8.2673 5.4573
Rb 2.0328 -3.1679 5.3757
Tl 0.1725 -8.2115 7.1125
Tl 2.4299 -5.0994 0.0816
Br -1.8065 -7.5648 2.0376

[3]
4
Lattice="5.6023 0.0000 0.0000 2.8012 4.8518 0.0000 2.8012 1.6173 4.5743" Properties=species:S:1:pos:R:3 comment="LaHoThMg (PBE, relaxed)" delta_e_f_ev_per_fu=0.35 relative_energy_mev_per_atom=136 e_tot_ev_per_atom=-4.543 pbc="T T T"
La 0.0000 0.0000 0.0000
Th 5.6023 3.2345 2.2871
Ho 8.4035 4.8518 3.4307
Mg 2.8012 1.6173 1.1436

[4]
4
Lattice="-5.7366 -0.9503 -0.5941 -2.0419 -3.9200 3.8247 2.5453 5.2213 -0.6509" Properties=species:S:1:pos:R:3 comment="Al2TlSe (PBE, relaxed)" relative_energy_mev_per_atom=170 raw_formation_energy_mev_per_atom=49 e_tot_ev_per_atom=-3.285 pbc="T T T"
Se -3.5402 0.9179 0.1852
Al -7.4898 -4.6895 3.1107
Tl -1.6929 -0.5669 2.3945
Al -4.1780 -2.6159 1.7352

[5]
6
Lattice="4.6245 -0.0708 -0.6027 -0.0682 5.2331 0.7096 -1.3845 1.6343 8.2539" Properties=species:S:1:pos:R:3 comment="BaGeAs (PBE, relaxed)" delta_e_f_ev_per_fu=-1.90 relative_energy_mev_per_atom=25 e_tot_ev_per_atom=-4.364 pbc="T T T"
Ba 3.6454 1.0547 1.2360
Ba -0.4737 5.7419 7.1248
Ge 0.3524 4.1813 4.4456
Ge 2.8193 2.6153 3.9152
As 1.3226 3.6792 2.1202
As 1.8490 3.1174 6.2406

[6]
12
Lattice="-6.3732 -0.1924 2.1841 1.9506 -6.1828 -1.8419 3.9956 2.2248 4.9508" Properties=species:S:1:pos:R:3 comment="PrAgF4 (PBE, relaxed)" relative_energy_mev_per_atom=81 raw_formation_energy_mev_per_atom=-2950 e_tot_ev_per_atom=-5.470 pbc="T T T"
Pr 0.8069 -5.1018 1.7221
F -2.8458 -2.9745 1.6561
Pr -3.2719 -4.7165 0.2532
F 1.6171 -5.5695 -0.4230
Ag 2.9292 -2.0424 1.5579
F -3.3432 0.4216 3.0189
F 0.1925 -4.3517 3.8521
F 2.1321 -1.5894 3.6591
F 2.9524 -4.5972 2.2933
F 0.4957 -2.9620 1.0089
Ag -1.1496 -1.6572 0.0890
F -0.9598 -1.1648 4.2650

[7]
4
Lattice="3.1541 0.0000 0.0000 0.0000 3.1541 0.0000 0.0000 0.0000 8.7270" Properties=species:S:1:pos:R:3 comment="CeSc2Mn (PBE, relaxed)" delta_e_f_ev_per_fu=0.33 relative_energy_mev_per_atom=153 e_tot_ev_per_atom=-6.858 pbc="T T T"
Mn 1.5770 1.5770 0.0000
Ce 1.5770 1.5770 4.3635
Sc 0.0000 0.0000 7.0910
Sc 0.0000 0.0000 1.6360

[8]
6
Lattice="-0.2283 0.3340 4.9738 -0.1494 -4.1449 2.7748 3.9442 -1.2910 2.7711" Properties=species:S:1:pos:R:3 comment="PrTiNi4 (PBE, relaxed)" delta_e_f_ev_per_fu=-1.18 e_tot_ev_per_atom=-6.164 pbc="T T T"
Ni 0.2736 -2.5433 5.1901
Ni 2.3371 -3.3469 4.1007
Ti 0.8916 -1.2755 2.6299
Ni 2.2981 -1.1319 5.1882
Ni 2.2242 -3.1817 6.5605
Pr 0.0000 0.0000 0.0000